Arrangement one

A plane-wave DFT calculation with GGA-PBE was carried out for an optimized crystal structure of TbPrNdTm.

```
TbPrNdTm
1.0
-0.5757 -3.4128 -1.0811
3.2351 1.5489 -0.5315
3.5811 -3.9047 10.4197
Tb Pr Nd Tm
1 1 1 1
Cartesian
5.2607 -3.6986 8.8749
1.5395 -1.6786 4.4793
1.3001 -2.4192 0.8639
3.1299 -4.4143 6.1880
```

Space-group type: P3m1


Arrangement two

A plane-wave DFT calculation with GGA-PBE was carried out for an optimized crystal structure of TbPrNdTm.

```
TbPrNdTm
1.0
-4.9516 2.5143 -1.4753
-4.4732 -0.1289 3.6042
-1.6859 4.8062 2.6599
Pr Nd Tm Tb
1 1 1 1
Cartesian
-2.7777 1.7979 1.1972
-8.3331 5.3937 3.5916
-5.5554 3.5958 2.3944
0.0000 0.0000 0.0000
```

Space-group type: F-43m


Stability summary: most stable arrangement one, least stable arrangement two.


Arrangement one

A plane-wave DFT calculation with GGA-PBE was carried out for an optimized crystal structure of TbPrNdY.

```
TbPrNdY
1.0
5.1484 0.0000 0.0000
0.0000 5.1502 0.0000
-2.5742 -2.5751 5.1226
Tb Pr Nd Y
1 1 1 1
Cartesian
0.0000 2.5751 2.0034
2.5742 0.0000 2.0043
2.5742 2.5751 4.5637
0.0000 0.0000 4.5651
```

Space-group type: I-4m2


Arrangement two

A plane-wave DFT calculation with GGA-PBE was carried out for an optimized crystal structure of TbPrNdY.

```
TbPrNdY
1.0
5.7768 0.0000 0.0000
2.8884 5.0029 0.0000
2.8884 1.6676 4.7168
Pr Nd Tb Y
1 1 1 1
Cartesian
5.7768 3.3353 2.3584
0.0000 0.0000 0.0000
2.8884 1.6676 1.1792
8.6652 5.0029 3.5376
```

Space-group type: F-43m


Stability summary: most stable arrangement one, least stable arrangement two.


Arrangement one

A plane-wave DFT calculation with GGA-PBE was carried out for an optimized crystal structure of TbPrNdZn.

```
TbPrNdZn
1.0
3.6545 0.0000 0.0000
0.0000 3.6545 0.0000
0.0000 0.0000 8.8344
Tb Pr Nd Zn
1 1 1 1
Cartesian
1.8273 1.8273 3.2609
0.0000 0.0000 0.6946
1.8273 1.8273 6.8594
0.0000 0.0000 4.9518
```

Space-group type: P4mm


Arrangement two

A plane-wave DFT calculation with GGA-PBE was carried out for an optimized crystal structure of TbPrNdZn.

```
TbPrNdZn
1.0
-2.2586 1.5512 4.7419
-5.2387 -1.1955 1.0585
-1.2405 -3.7464 3.7972
Pr Nd Zn Tb
1 1 1 1
Cartesian
0.0000 0.0000 0.0000
-4.3689 -1.6954 4.7988
-2.1844 -0.8477 2.3994
-6.5533 -2.5431 7.1982
```

Space-group type: F-43m


Stability summary: most stable arrangement one, least stable arrangement two.


Arrangement one

A plane-wave DFT calculation with GGA-PBE was carried out for an optimized crystal structure of PrNd2Tc.

```
PrNd2Tc
1.0
-2.3995 2.3153 -1.2051
-2.2594 -2.6620 -0.6158
-3.4348 0.9229 8.6124
Pr Nd Tc
1 2 1
Cartesian
-4.0468 0.2881 3.3958
-2.8020 0.7529 7.0257
-0.6328 0.1700 1.5867
-2.3294 -0.1734 -0.9104
```

Space-group type: P4/mmm


Arrangement two

A plane-wave DFT calculation with GGA-PBE was carried out for an optimized crystal structure of PrNd2Tc.

```
PrNd2Tc
1.0
3.5331 0.0000 0.0000
1.7666 3.0598 0.0000
1.7666 1.0199 11.2072
Pr Nd Tc
1 2 1
Cartesian
0.0000 0.0000 0.0000
1.7666 1.0199 7.6650
5.2997 3.0598 3.5421
3.5331 2.0398 5.6036
```

Space-group type: R-3m


Arrangement three

A plane-wave DFT calculation with GGA-PBE was carried out for an optimized crystal structure of PrNd2Tc.

```
PrNd2Tc
1.0
3.9976 -0.5332 0.0000
-1.1780 6.4292 0.0000
0.0000 0.0000 9.5587
Pr Nd Tc
2 4 2
Cartesian
0.1247 0.9422 2.3897
2.6948 4.9538 7.1690
0.5813 4.3772 0.6731
2.2383 1.5188 8.8856
2.2383 1.5188 5.4524
0.5813 4.3772 4.1063
2.3888 2.6858 2.3897
0.4307 3.2102 7.1690
```

Space-group type: Cmcm


Stability summary: most stable arrangement three, least stable arrangement two.